The following is a DFT calculation (GGA-PBE) of an optimized crystal structure of SrCaNb2Se.

a = 4.9811 Å, b = 5.6350 Å, c = 4.9811 Å
α = 90.00°, β = 90.00°, γ = 90.00°
Last column: nearest neighbours and their distance in Å.
Element x y z (fractional)
1 Nb 0.0000 0.0000 0.5000  2 Ca 2.49
2 Nb 0.5000 0.0000 0.0000  2 Ca 2.49
3 Ca 0.0000 0.0000 0.0000  4 Nb 2.49
4 Sr 0.5000 0.5000 0.5000  4 Se 3.52, 8 Nb 3.76
5 Se 0.0000 0.5000 0.0000  2 Ca 2.82

Energy relative to the elements, uncorrected in eV/atom: 1.30
V in Å³/atom: 28.0